No. 1
A relaxed PrSmSi crystal, computed with PBE.

It has space group P-62m (No. 189), with a = 8.0882 Å, b = 8.0882 Å, c = 4.3353 Å, α = 90.00°, β = 90.00° and γ = 120.00°. Symmetry generates all atoms from Pr at (0.0000, 0.4094, 0.0000), Sm at (0.0000, 0.7373, 0.5000), Si at (0.0000, 0.0000, 0.0000) and Si at (0.3333, 0.6667, 0.5000).

For the energy relative to the lowest polymorph listed for this composition, the calculation gives 0 meV/atom. The uncorrected formation energy comes out at -508 meV/atom.

No. 2
A relaxed BeReSi crystal, computed with PBE.

It has space group F-43m (No. 216), with a = 5.518 Å, b = 5.518 Å, c = 5.518 Å, α = 90.00°, β = 90.00° and γ = 90.00°. Symmetry generates all atoms from Be at (0.000, 0.000, 0.000), Re at (0.000, 0.000, 0.500) and Si at (0.250, 0.250, 0.750).

For the energy relative to the lowest polymorph listed for this composition, the calculation gives 471 meV/atom. The uncorrected formation energy comes out at 265 meV/atom.

No. 3
A relaxed Ti5Ga6 crystal, computed with PBE.

It has space group C2/m (No. 12), with a = 5.259 Å, b = 11.033 Å, c = 6.804 Å, α = 90.00°, β = 109.92° and γ = 90.00°. Symmetry generates all atoms from Ti at (0.000, 0.000, 0.000), Ti at (0.000, 0.279, 0.000), Ti at (0.000, 0.351, 0.500), Ga at (0.025, 0.500, 0.198) and Ga at (0.054, 0.137, 0.696).

For the energy relative to the lowest polymorph listed for this composition, the calculation gives 106 meV/atom.

No. 4
A relaxed ReAg4Se crystal, computed with PBE.

It has space group F-43m (No. 216), with a = 7.703 Å, b = 7.703 Å, c = 7.703 Å, α = 90.00°, β = 90.00° and γ = 90.00°. Symmetry generates all atoms from Re at (0.000, 0.000, 0.000), Ag at (0.125, 0.125, 0.375) and Se at (0.250, 0.250, 0.750).

The uncorrected formation energy comes out at 886 meV/atom.

No. 5
A relaxed AlCdRu2 crystal, computed with PBE.

It has space group Cm (No. 8), with a = 9.949 Å, b = 2.877 Å, c = 4.692 Å, α = 90.00°, β = 111.90° and γ = 90.00°. Symmetry generates all atoms from Al at (0.000, 0.000, 0.000), Cd at (0.274, 0.500, 0.384), Ru at (0.030, 0.500, 0.515) and Ru at (0.254, 0.000, 0.876).

For the energy relative to the lowest polymorph listed for this composition, the calculation gives 109 meV/atom.

No. 6
A relaxed KAl2Re crystal, computed with PBE.

It has space group Imm2 (No. 44), with a = 2.765 Å, b = 4.423 Å, c = 16.092 Å, α = 90.00°, β = 90.00° and γ = 90.00°. Symmetry generates all atoms from K at (0.000, 0.000, 0.000), Al at (0.000, 0.000, 0.335), Al at (0.000, 0.500, 0.188) and Re at (0.000, 0.500, 0.702).

For the energy relative to the lowest polymorph listed for this composition, the calculation gives 46 meV/atom.

No. 7
A relaxed CePu2Te crystal, computed with PBE.

It has space group P4/mmm (No. 123), with a = 4.634 Å, b = 4.634 Å, c = 4.803 Å, α = 90.00°, β = 90.00° and γ = 90.00°. Symmetry generates all atoms from Ce at (0.000, 0.000, 0.000), Pu at (0.000, 0.500, 0.500) and Te at (0.500, 0.500, 0.000).

The uncorrected formation energy comes out at -448 meV/atom.

No. 8
A relaxed HfTi3Ga2 crystal, computed with PBE.

It has space group C2/m (No. 12), with a = 15.400 Å, b = 3.916 Å, c = 7.682 Å, α = 90.00°, β = 112.81° and γ = 90.00°. Symmetry generates all atoms from Hf at (0.115, 0.000, 0.148), Ti at (0.063, 0.000, 0.686), Ti at (0.133, 0.500, 0.492), Ti at (0.195, 0.500, 0.888), Ga at (0.015, 0.500, 0.852) and Ga at (0.244, 0.000, 0.701).

For the energy relative to the lowest polymorph listed for this composition, the calculation gives 60 meV/atom.

no.,raw total energy (eV/cell),density (g/cm3)
1,-49.333,6.48
2,-83.207,8.83
3,-121.248,5.88
4,-88.085,10.12
5,-46.152,9.10
6,-39.797,4.71
7,-39.531,12.17
8,-165.293,7.18